Computed, not measured: a relaxed BaMoBr crystal at the PBE-GGA level of DFT.

Lattice parameters (Å, degrees): 8.162 8.162 8.162 90.00 90.00 90.00
Atoms (fractional coordinates):
Ba  0.000  0.000  0.000
Ba  0.000  0.500  0.500
Ba  0.500  0.000  0.500
Ba  0.500  0.500  0.000
Mo  0.250  0.250  0.750
Mo  0.250  0.750  0.250
Mo  0.750  0.250  0.250
Mo  0.750  0.750  0.750
Br  0.250  0.250  0.250
Br  0.250  0.750  0.750
Br  0.750  0.250  0.750
Br  0.750  0.750  0.250

raw formation energy	758	meV/atom
M_tot	5.00	μB per formula unit
polymorph energy (0 for the lowest one)	226	meV/atom